[1]
CrHg2Pt | the Alexandria database | GGA-PBE | optimized geometry; total magnetization = 4.4 μB/cell; SG = R-3m, No. 166; ρ = 14.1 g/cm³; E above lowest polymorph = 0.185 eV per atom; V = 77 Å³/cell; electronic total energy = -3.738 eV/atom
1.0
-5.2616 -7.4302 0.2183
-2.9199 -8.4756 -1.6057
-2.6412 -8.5809 1.5271
Cr Hg Pt
1 2 1
direct
0.7500 0.7500 0.7500
0.0002 0.0002 0.0002
0.4998 0.4998 0.4998
0.2500 0.2500 0.2500

[2]
CrHg3Pt | the Alexandria database | GGA-PBE | optimized geometry; total magnetization = 4.1 μB/cell; SG = Pm-3m, No. 221; ρ = 10.3 g/cm³; E above lowest polymorph = 0.463 eV per atom; V = 137 Å³/cell; electronic total energy = -2.309 eV/atom
1.0
-4.9919 0.6038 1.1167
-0.9257 -4.8320 -1.5249
0.8689 -1.6786 4.7915
Cr Hg Pt
1 3 1
direct
0.0000 0.0000 0.0000
0.0000 0.5000 0.0000
0.0000 0.0000 0.5000
0.5000 0.0000 0.0000
0.5000 0.5000 0.5000

[3]
CrHgPt3 | the Alexandria database | GGA-PBE | optimized geometry; total magnetization = 0.4 μB/cell; SG = Pm-3m, No. 221; ρ = 14.0 g/cm³; E above lowest polymorph = 0.000 eV per atom; V = 100 Å³/cell; electronic total energy = -4.747 eV/atom
1.0
4.6367 0.0000 0.0000
0.0000 4.6367 0.0000
0.0000 0.0000 4.6367
Cr Hg Pt
1 1 3
direct
0.0000 0.0000 0.0000
0.5000 0.5000 0.5000
0.0000 0.5000 0.0000
0.0000 0.0000 0.5000
0.5000 0.0000 0.0000

[4]
CrHg2Pt | the Alexandria database | GGA-PBE | optimized geometry; total magnetization = 3.8 μB/cell; SG = Fm-3m, No. 225; ρ = 14.7 g/cm³; E above lowest polymorph = 0.052 eV per atom; V = 73 Å³/cell; electronic total energy = -3.870 eV/atom
1.0
2.0648 -2.8470 3.1160
-1.9938 -4.1069 1.1114
1.9565 -4.0250 -1.4314
Cr Hg Pt
1 2 1
direct
0.0000 0.0000 0.0000
0.2500 0.2500 0.2500
0.7500 0.7500 0.7500
0.5000 0.5000 0.5000

[5]
CrHg2Pt | the Alexandria database | GGA-PBE | optimized geometry; total magnetization = 3.8 μB/cell; SG = F-43m, No. 216; ρ = 14.6 g/cm³; E above lowest polymorph = 0.094 eV per atom; V = 74 Å³/cell; electronic total energy = -3.829 eV/atom
1.0
4.7112 0.0000 0.0000
2.3556 4.0800 0.0000
2.3556 1.3600 3.8467
Cr Hg Pt
1 2 1
direct
0.5000 0.5000 0.5000
0.0000 0.0000 0.0000
0.7500 0.7500 0.7500
0.2500 0.2500 0.2500

[6]
CrHg3Pt | the Alexandria database | GGA-PBE | optimized geometry; total magnetization = 5.4 μB/cell; SG = Pm-3m, No. 221; ρ = 9.7 g/cm³; E above lowest polymorph = 0.000 eV per atom; V = 145 Å³/cell; electronic total energy = -2.773 eV/atom
1.0
-4.4814 2.6025 0.8823
-2.7217 -3.9704 -2.1127
-0.3795 -2.2578 4.7321
Cr Hg Pt
1 3 1
direct
0.5000 0.5000 0.5000
0.0000 0.5000 0.0000
0.0000 0.0000 0.5000
0.5000 0.0000 0.0000
0.0000 0.0000 0.0000

Question: electronic total energy of number 2 (CrHg3Pt)?
Answer: -2.309 eV/atom